! ZrIn2Br | Alexandria via LeMat-Bulk | PBE | optimized geometry; values from VASP
&SYSTEM
  ibrav = 0, nat = 4, ntyp = 3
/
ATOMIC_SPECIES
Br 79.90 Br.upf
Zr 91.22 Zr.upf
In 114.82 In.upf
CELL_PARAMETERS angstrom
5.2635 0.0000 0.0000
0.0000 3.3725 0.0213
0.0000 3.2320 5.5881
ATOMIC_POSITIONS crystal
Br 0.5000 0.7500 0.7500
Zr 0.5000 0.2500 0.2500
In 0.0000 0.0369 0.0048
In 0.0000 0.4631 0.4952
! V ... 24.7 Å³ per atom
! Symmetry ... No. 10
! Size of the total moment ... 0.00 μB/atom
! E above lowest polymorph ... 345 meV/atom
! Formation energy (no corrections) ... -101 meV per atom